Record 1
Pu2InSi3Au4: optimized geometry, PBE.

Cell lengths 4.2754, 4.2754, 11.0973 Å; angles 90.00, 90.00, 90.00 degrees
Fractional coordinates of all 10 atoms:
Pu  0.0000  0.5000  0.2305
Pu  0.5000  0.0000  0.7695
In  0.0000  0.0000  0.5000
Si  0.0000  0.5000  0.8684
Si  0.5000  0.0000  0.1316
Si  0.5000  0.5000  0.5000
Au  0.0000  0.0000  0.0000
Au  0.0000  0.5000  0.6513
Au  0.5000  0.0000  0.3487
Au  0.5000  0.5000  0.0000

## Properties
Energy   -0.2351 hartree per atom
Magnetic moment   10.672 Bohr magnetons per cell
Crystal system   tetragonal
Raw formation energy   -0.320 eV/atom


Record 2
TiAl2H6: optimized geometry, PBE.

Cell lengths 4.6229, 4.6229, 4.6229 Å; angles 60.00, 60.00, 60.00 degrees
Fractional coordinates of all 9 atoms:
Ti  0.0000  0.0000  0.0000
Al  0.2500  0.2500  0.2500
Al  0.7500  0.7500  0.7500
H  0.2716  0.2716  0.7284
H  0.2716  0.7284  0.2716
H  0.2716  0.7284  0.7284
H  0.7284  0.2716  0.2716
H  0.7284  0.2716  0.7284
H  0.7284  0.7284  0.2716

## Properties
Energy   -0.1394 hartree per atom
Magnetic moment   0.000 Bohr magnetons per cell
Crystal system   cubic


Record 3
Sc4AgRh: optimized geometry, PBE.

Cell lengths 8.8991, 8.8991, 8.8991 Å; angles 60.00, 60.00, 60.00 degrees
Fractional coordinates of all 24 atoms:
Sc  0.0643  0.0643  0.4357
Sc  0.0643  0.4357  0.0643
Sc  0.0643  0.4357  0.4357
Sc  0.1733  0.6089  0.6089
Sc  0.1853  0.1853  0.8147
Sc  0.1853  0.8147  0.1853
Sc  0.1853  0.8147  0.8147
Sc  0.4357  0.0643  0.0643
Sc  0.4357  0.0643  0.4357
Sc  0.4357  0.4357  0.0643
Sc  0.6089  0.1733  0.6089
Sc  0.6089  0.6089  0.1733
Sc  0.6089  0.6089  0.6089
Sc  0.8147  0.1853  0.1853
Sc  0.8147  0.1853  0.8147
Sc  0.8147  0.8147  0.1853
Ag  0.4986  0.8338  0.8338
Ag  0.8338  0.4986  0.8338
Ag  0.8338  0.8338  0.4986
Ag  0.8338  0.8338  0.8338
Rh  0.3973  0.3973  0.3973
Rh  0.3973  0.3973  0.8082
Rh  0.3973  0.8082  0.3973
Rh  0.8082  0.3973  0.3973

## Properties
Energy   -0.2352 hartree per atom
ΔE_f   -0.478 eV/atom
Magnetic moment   0.000 Bohr magnetons per cell
Crystal system   cubic


Record 4
La4TePCl2: optimized geometry, PBE.

Cell lengths 7.2637, 4.2965, 7.7428 Å; angles 90.00, 109.43, 90.00 degrees
Fractional coordinates of all 8 atoms:
La  0.2363  0.0000  0.2168
La  0.2556  0.5000  0.7836
La  0.7444  0.5000  0.2164
La  0.7637  0.0000  0.7832
Te  0.0000  0.0000  0.5000
P  0.0000  0.5000  0.0000
Cl  0.5000  0.0000  0.0000
Cl  0.5000  0.5000  0.5000

## Properties
Energy   -0.2067 hartree per atom
Magnetic moment   0.000 Bohr magnetons per cell
Crystal system   monoclinic
Raw formation energy   -1.631 eV/atom


Record 5
AgGeH2F8: optimized geometry, PBE.

Cell lengths 4.8699, 4.9412, 6.7729 Å; angles 103.14, 91.18, 102.79 degrees
Fractional coordinates of all 12 atoms:
Ag  0.0000  0.0000  0.0000
Ge  0.0000  0.0000  0.5000
H  0.2511  0.5282  0.8214
H  0.7489  0.4718  0.1786
F  0.2008  0.1507  0.2964
F  0.2226  0.7662  0.4957
F  0.2391  0.2670  0.7140
F  0.2827  0.7105  0.9391
F  0.7173  0.2895  0.0609
F  0.7609  0.7330  0.2860
F  0.7774  0.2338  0.5043
F  0.7992  0.8493  0.7036

## Properties
Energy   -0.1543 hartree per atom
Magnetic moment   0.998 Bohr magnetons per cell
Crystal system   triclinic


Record 6
Pm5Nd12Sm2: optimized geometry, PBE.

Cell lengths 10.8684, 10.8684, 6.3074 Å; angles 100.72, 100.72, 66.29 degrees
Fractional coordinates of all 19 atoms:
Pm  0.0000  0.0000  0.0000
Pm  0.2137  0.2137  0.0493
Pm  0.3237  0.3237  0.6426
Pm  0.6763  0.6763  0.3574
Pm  0.7863  0.7863  0.9507
Nd  0.0581  0.5457  0.2993
Nd  0.1215  0.1215  0.4945
Nd  0.1506  0.6437  0.8832
Nd  0.3563  0.8494  0.1168
Nd  0.4463  0.4463  0.2262
Nd  0.4543  0.9419  0.7007
Nd  0.5457  0.0581  0.2993
Nd  0.5537  0.5537  0.7738
Nd  0.6437  0.1506  0.8832
Nd  0.8494  0.3563  0.1168
Nd  0.8785  0.8785  0.5055
Nd  0.9419  0.4543  0.7007
Sm  0.2271  0.7729  0.5000
Sm  0.7729  0.2271  0.5000

## Properties
Energy   -0.1715 hartree per atom
ΔE_f   0.091 eV/atom
Magnetic moment   0.000 Bohr magnetons per cell
Crystal system   monoclinic


Record 7
Na3Dy3AuO8: optimized geometry, PBE.

Cell lengths 6.7536, 6.7536, 6.8436 Å; angles 120.11, 120.11, 60.54 degrees
Fractional coordinates of all 15 atoms:
Na  0.0000  0.0000  0.0000
Na  0.0000  0.5000  0.0000
Na  0.5000  0.0000  0.0000
Dy  0.0000  0.5000  0.5000
Dy  0.5000  0.0000  0.5000
Dy  0.5000  0.5000  0.5000
Au  0.0000  0.0000  0.5000
O  0.2185  0.2185  0.6984
O  0.2355  0.7458  0.7125
O  0.2542  0.7645  0.2875
O  0.2621  0.2621  0.2934
O  0.7379  0.7379  0.7066
O  0.7458  0.2355  0.7125
O  0.7645  0.2542  0.2875
O  0.7815  0.7815  0.3016

## Properties
Energy   -0.2295 hartree per atom
Magnetic moment   0.959 Bohr magnetons per cell
Crystal system   monoclinic
Raw formation energy   -2.198 eV/atom


Record 8
Ba2TiAs: optimized geometry, PBE.

Cell lengths 12.2503, 12.2503, 4.9753 Å; angles 90.00, 90.00, 90.00 degrees
Fractional coordinates of all 16 atoms:
Ba  0.0806  0.2500  0.1250
Ba  0.2500  0.5806  0.3750
Ba  0.2500  0.9194  0.8750
Ba  0.4194  0.2500  0.6250
Ba  0.5806  0.7500  0.6250
Ba  0.7500  0.0806  0.8750
Ba  0.7500  0.4194  0.3750
Ba  0.9194  0.7500  0.1250
Ti  0.0000  0.0000  0.5000
Ti  0.0000  0.5000  0.7500
Ti  0.5000  0.0000  0.2500
Ti  0.5000  0.5000  0.0000
As  0.0000  0.0000  0.0000
As  0.0000  0.5000  0.2500
As  0.5000  0.0000  0.7500
As  0.5000  0.5000  0.5000

## Properties
Energy   -0.1556 hartree per atom
ΔE_f   -0.135 eV/atom
Magnetic moment   12.131 Bohr magnetons per cell
Crystal system   tetragonal